## Rb2MoO4 (PBE with a Hubbard U)

Data for a relaxed Rb2MoO4 crystal.

Geometry as POSCAR:
```
Rb2MoO4
1.0
6.598 0.000 0.000
0.000 6.878 0.000
-2.698 0.000 7.354
Rb Mo O
4 2 8
Direct
0.160 0.250 0.008
0.305 0.250 0.567
0.695 0.750 0.433
0.840 0.750 0.992
0.261 0.750 0.796
0.739 0.250 0.204
0.088 0.539 0.739
0.088 0.961 0.739
0.404 0.750 0.038
0.451 0.750 0.678
0.549 0.250 0.322
0.596 0.250 0.962
0.912 0.039 0.261
0.912 0.461 0.261
```

- Space group: P2_1/m, No. 11
- Total magnetic moment: 0.16 μB per formula unit
- Polymorph energy (0 for the lowest one): 29 meV/atom
- Total DFT energy (no corrections): -41.84 eV per formula unit